Entry 1:
## BeSnPd2N (PBE)

Data for a relaxed BeSnPd2N crystal.

Summary:
N(E_F) in states/eV/f.u.: 1.7
Magnetization in μB per atom: 0.19
E_form (uncorrected) in meV per atom: 976.9

Unit cell a=4.148 b=4.148 c=4.707 alpha=90.00 beta=90.00 gamma=90.00
Space group P4/mmm (No. 123)
Inequivalent atoms, fractional coordinates:
1 Be 0.000 0.000 0.000
2 Sn 0.000 0.000 0.500
3 Pd 0.000 0.500 0.000
4 N 0.500 0.500 0.500

=====

Entry 2:
## Te2PdI (PBE)

Data for a relaxed Te2PdI crystal.

Summary:
N(E_F) in states/eV/f.u.: 2.5
Magnetization in μB per atom: 0.00
E_form (uncorrected) in meV per atom: 157.1

Unit cell a=3.2549 b=3.2549 c=40.3582 alpha=90.00 beta=90.00 gamma=120.00
Space group R-3m (No. 166, hexagonal axes)
Inequivalent atoms, fractional coordinates:
1 Te 0.0000 0.0000 0.0640
2 Pd 0.0000 0.0000 0.0000
3 I 0.0000 0.0000 0.5000

=====

Entry 3:
## LaCr2Au (PBE)

Data for a relaxed LaCr2Au crystal.

Summary:
Energy relative to the elements in meV/atom: 348
N(E_F) in states/eV/f.u.: 2.9
Magnetization in μB per atom: 2.02
Polymorph energy (0 for the lowest one) in meV/atom: 286

Unit cell a=6.905 b=6.905 c=6.905 alpha=90.00 beta=90.00 gamma=90.00
Space group Fm-3m (No. 225)
Inequivalent atoms, fractional coordinates:
1 La 0.000 0.000 0.000
2 Cr 0.250 0.250 0.250
3 Au 0.000 0.000 0.500

=====

Entry 4:
## YThBeZn (PBE)

Data for a relaxed YThBeZn crystal.

Summary:
Energy relative to the elements in meV/atom: -25
N(E_F) in states/eV/f.u.: 4.8
Magnetization in μB per atom: 0.00

Unit cell a=7.112 b=7.112 c=7.112 alpha=90.00 beta=90.00 gamma=90.00
Space group F-43m (No. 216)
Inequivalent atoms, fractional coordinates:
1 Y 0.000 0.000 0.000
2 Th 0.000 0.000 0.500
3 Be 0.250 0.250 0.250
4 Zn 0.250 0.250 0.750

=====

Entry 5:
## LaHo2Tm3 (PBE)

Data for a relaxed LaHo2Tm3 crystal.

Summary:
Energy relative to the elements in meV/atom: 27
N(E_F) in states/eV/f.u.: 8.8
Magnetization in μB per atom: 0.00
Polymorph energy (0 for the lowest one) in meV/atom: 11

Unit cell a=3.569 b=18.476 c=11.505 alpha=90.00 beta=90.00 gamma=90.00
Space group Cmcm (No. 63)
Inequivalent atoms, fractional coordinates:
1 La 0.000 0.221 0.250
2 Ho 0.000 0.000 0.000
3 Ho 0.000 0.446 0.750
4 Tm 0.000 0.108 0.750
5 Tm 0.000 0.335 0.005

=====

Entry 6:
## Ba8AgBi5 (PBE)

Data for a relaxed Ba8AgBi5 crystal.

Summary:
Energy relative to the elements in meV/atom: -857
Magnetization in μB per atom: 0.00

Unit cell a=10.750 b=10.750 c=10.720 alpha=90.00 beta=90.00 gamma=90.00
Space group I-4 (No. 82)
Inequivalent atoms, fractional coordinates:
1 Ba 0.072 0.185 0.186
2 Ba 0.074 0.329 0.552
3 Ag 0.000 0.000 0.500
4 Bi 0.000 0.500 0.250
5 Bi 0.130 0.252 0.870

=====

Entry 7:
## TiBeB (PBE)

Data for a relaxed TiBeB crystal.

Summary:
Energy relative to the elements in meV/atom: -549
N(E_F) in states/eV/f.u.: 1.6
Magnetization in μB per atom: 0.00
Polymorph energy (0 for the lowest one) in meV/atom: 67

Unit cell a=3.2738 b=3.2738 c=3.1571 alpha=90.00 beta=90.00 gamma=120.00
Space group P-6m2 (No. 187)
Inequivalent atoms, fractional coordinates:
1 Ti 0.0000 0.0000 0.0000
2 Be 0.3333 0.6667 0.5000
3 B 0.6667 0.3333 0.5000

=====

Entry 8:
## NiSe2Br (PBE)

Data for a relaxed NiSe2Br crystal.

Summary:
N(E_F) in states/eV/f.u.: 4.1
Magnetization in μB per atom: 0.00
E_form (uncorrected) in meV per atom: 720.2
Polymorph energy (0 for the lowest one) in meV/atom: 958

Unit cell a=5.004 b=5.004 c=3.012 alpha=90.00 beta=90.00 gamma=90.00
Space group P4/mmm (No. 123)
Inequivalent atoms, fractional coordinates:
1 Ni 0.000 0.000 0.000
2 Se 0.000 0.500 0.500
3 Br 0.500 0.500 0.000

=====

Entry 9:
## CaCuSi2 (PBE)

Data for a relaxed CaCuSi2 crystal.

Summary:
N(E_F) in states/eV/f.u.: 1.4
Magnetization in μB per atom: 0.00
E_form (uncorrected) in meV per atom: -96.2

Unit cell a=4.664 b=4.664 c=16.016 alpha=90.00 beta=90.00 gamma=90.00
Space group I-42d (No. 122)
Inequivalent atoms, fractional coordinates:
1 Ca 0.000 0.000 0.000
2 Cu 0.000 0.000 0.500
3 Si 0.041 0.250 0.625

=====

Entry 10:
## PrY2Os (PBE)

Data for a relaxed PrY2Os crystal.

Summary:
Energy relative to the elements in meV/atom: -111
N(E_F) in states/eV/f.u.: 2.8
Magnetization in μB per atom: 0.00
Polymorph energy (0 for the lowest one) in meV/atom: 65

Unit cell a=3.443 b=3.443 c=9.354 alpha=90.00 beta=90.00 gamma=90.00
Space group P4/mmm (No. 123)
Inequivalent atoms, fractional coordinates:
1 Pr 0.000 0.000 0.000
2 Y 0.500 0.500 0.323
3 Os 0.000 0.000 0.500

=====

Entry 11:
## Rb3Pa3VSe8 (PBE)

Data for a relaxed Rb3Pa3VSe8 crystal.

Summary:
N(E_F) in states/eV/f.u.: 18.5
Magnetization in μB per atom: 0.47
E_form (uncorrected) in meV per atom: -1234.7

Unit cell a=8.1791 b=8.1791 c=24.9122 alpha=90.00 beta=90.00 gamma=120.00
Space group R-3m (No. 166, hexagonal axes)
Inequivalent atoms, fractional coordinates:
1 Rb 0.0000 0.5000 0.0000
2 Pa 0.0000 0.5000 0.5000
3 V 0.0000 0.0000 0.5000
4 Se 0.0000 0.0000 0.2345
5 Se 0.0174 0.5087 0.2291

=====

Entry 12:
## K4Ce3GeS8 (PBE)

Data for a relaxed K4Ce3GeS8 crystal.

Summary:
N(E_F) in states/eV/f.u.: 13.4
Magnetization in μB per atom: 0.13
E_form (uncorrected) in meV per atom: -1543.1

Unit cell a=8.3290 b=8.3290 c=21.8932 alpha=90.00 beta=90.00 gamma=120.00
Space group R-3m (No. 166, hexagonal axes)
Inequivalent atoms, fractional coordinates:
1 K 0.0000 0.0000 0.0000
2 K 0.0000 0.5000 0.0000
3 Ce 0.0000 0.5000 0.5000
4 Ge 0.0000 0.0000 0.5000
5 S 0.0000 0.0000 0.2358
6 S 0.0005 0.5003 0.7666

=====

- Look up the magnetization of the seventh one.
  0.00 μB per atom